Zn4CrSi | SCAN | single point on PBEsol structure

Properties
For the density of states at the Fermi level, the calculation gives 0.2913 states/eV per atom. The value obtained for the total moment is 3.7 μB/f.u. As for the crystal system: cubic. The value obtained for the volume is 86.3 Å³/f.u. The formation energy (no corrections) is 193 meV per atom. The calculated total energy is -0.99595 Ry per atom.

a = 7.016 Å, b = 7.016 Å, c = 7.016 Å
α = 90.00°, β = 90.00°, γ = 90.00°
Space group F-43m (No. 216)
One atom of each set of equivalent atoms:
Zn (0.124, 0.124, 0.124) (multiplicity 16)
Cr (0.250, 0.250, 0.750) (multiplicity 4)
Si (0.000, 0.000, 0.500) (multiplicity 4)